[1]
First-principles (PBE-GGA) data for crystalline Pm2NdHf at its relaxed geometry, as listed in Alexandria.

Structure (POSCAR):
```
Pm2NdHf
1.0
4.970 0.000 0.000
0.000 4.955 0.000
0.000 0.000 4.955
Nd Hf Pm
1 1 2
direct
0.500 0.500 0.500
0.500 0.000 0.000
0.000 0.000 0.500
0.000 0.500 0.000
```

- total DFT energy (no corrections) (Ha/atom) = -0.2158
- SG = No. 123
- formation enthalpy at 0 K (eV/atom) = 0.1825

---

[2]
First-principles (PBE-GGA) data for crystalline Pm2NdHf at its relaxed geometry, as listed in Alexandria.

Structure (POSCAR):
```
Pm2NdHf
1.0
-2.318 -3.323 0.145
1.948 -1.500 -3.224
4.986 -3.280 4.538
Nd Hf Pm
1 1 2
direct
0.500 0.500 0.500
0.500 0.500 0.000
0.000 0.000 0.783
0.000 0.000 0.217
```

- total DFT energy (no corrections) (Ha/atom) = -0.2141
- SG = No. 123
- formation enthalpy at 0 K (eV/atom) = 0.2292

---

[3]
First-principles (PBE-GGA) data for crystalline Pr2NdHf at its relaxed geometry, as listed in Alexandria.

Structure (POSCAR):
```
Pr2NdHf
1.0
-1.185 3.205 -0.022
-1.869 1.112 -2.636
-11.414 -2.365 4.878
Pr Nd Hf
2 1 1
direct
0.083 0.083 0.750
0.917 0.917 0.250
0.500 0.500 0.500
0.000 0.000 0.000
```

- total DFT energy (no corrections) (Ha/atom) = -0.2080
- SG = No. 166
- formation enthalpy at 0 K (eV/atom) = 0.4101

---

[4]
First-principles (PBE-GGA) data for crystalline Pr2NdHf at its relaxed geometry, as listed in Alexandria.

Structure (POSCAR):
```
Pr2NdHf
1.0
-1.509 -3.308 1.864
1.952 -2.397 -2.673
6.035 -0.180 4.568
Pr Nd Hf
2 1 1
direct
0.000 0.000 0.782
0.000 0.000 0.218
0.500 0.500 0.500
0.500 0.500 0.000
```

- total DFT energy (no corrections) (Ha/atom) = -0.2145
- SG = No. 123
- formation enthalpy at 0 K (eV/atom) = 0.2324

---

[5]
First-principles (PBE-GGA) data for crystalline PrNdHf at its relaxed geometry, as listed in Alexandria.

Structure (POSCAR):
```
PrNdHf
1.0
3.417 0.000 0.000
0.000 3.417 0.000
-1.708 -1.708 7.810
Pr Nd Hf
1 1 1
direct
0.320 0.320 0.640
0.015 0.015 0.029
0.666 0.666 0.331
```

- total DFT energy (no corrections) (Ha/atom) = -0.2323
- SG = No. 107
- formation enthalpy at 0 K (eV/atom) = 0.1789

---

[6]
First-principles (PBE-GGA) data for crystalline NdHfPt at its relaxed geometry, as listed in Alexandria.

Structure (POSCAR):
```
NdHfPt
1.0
-3.014 1.488 -0.813
-1.671 -2.328 1.935
2.841 4.057 4.245
Nd Hf Pt
1 1 1
direct
0.995 0.995 0.990
0.704 0.704 0.408
0.301 0.301 0.602
```

- total DFT energy (no corrections) (Ha/atom) = -0.2780
- SG = No. 107
- formation enthalpy at 0 K (eV/atom) = -0.6438

---

Q: What is the formula in the fifth record?
A: PrNdHf

---

Q: Among the records above, which one has the lowest formation enthalpy at 0 K?
A: NdHfPt

---

Q: The lowest formation enthalpy at 0 K belongs to which entry?
A: NdHfPt